1.
Material: EuDyTm
Method: DFT, PBE
State: relaxed

Cell and atoms, written as extended XYZ:
```
3
Lattice="-1.187 -1.789 2.912 -2.136 -2.018 -2.110 7.330 -3.220 -1.238" Properties=species:S:1:pos:R:3 pbc="T T T"
Eu 0.007 -0.006 -0.001
Tm 0.322 -3.696 0.108
Dy 3.679 -3.325 -0.543
```

The calculation puts the energy above the most stable polymorph in this dataset at 0.002 eV/atom. Its energy of formation is 0.07 eV/atom. As for the symmetry: No. 107.


2.
Material: NaHoErIn
Method: DFT, PBE
State: relaxed

Cell and atoms, written as extended XYZ:
```
4
Lattice="-2.318 0.636 -4.791 -5.342 0.209 -0.386 -2.420 4.626 -1.213" Properties=species:S:1:pos:R:3 pbc="T T T"
Ho -7.560 4.104 -4.793
In -5.040 2.736 -3.195
Er -2.520 1.368 -1.598
Na 0.000 0.000 0.000
```

Its energy of formation is -0.10 eV/atom. As for the symmetry: No. 216.


3.
Material: Gd2HIr
Method: DFT, PBE
State: relaxed

Cell and atoms, written as extended XYZ:
```
4
Lattice="-3.404 -1.431 -1.464 0.030 -2.205 -3.304 -0.467 -6.160 1.719" Properties=species:S:1:pos:R:3 pbc="T T T"
H 0.000 0.000 0.000
Gd -0.970 -2.377 -0.810
Gd -2.872 -7.419 -2.239
Ir -1.921 -4.898 -1.524
```

The calculation puts the energy above the most stable polymorph in this dataset at 0.000 eV/atom. As for the symmetry: No. 166.


4.
Material: SrVIr
Method: DFT, PBE
State: relaxed

Cell and atoms, written as extended XYZ:
```
12
Lattice="5.904 0.000 0.000 0.000 8.034 0.000 0.000 0.000 5.263" Properties=species:S:1:pos:R:3 pbc="T T T"
Ir 2.952 0.000 2.268
Ir 0.000 0.000 2.268
Ir 2.952 4.017 4.900
Ir 0.000 4.017 4.900
V 4.428 2.310 4.010
V 4.428 1.707 1.378
V 1.476 6.327 1.378
V 1.476 5.724 4.010
Sr 1.476 1.024 4.908
Sr 4.428 7.010 4.908
Sr 1.476 2.993 2.276
Sr 4.428 5.041 2.276
```

The calculation puts the energy above the most stable polymorph in this dataset at 0.312 eV/atom. Its energy of formation is 0.05 eV/atom. As for the symmetry: No. 46.


5.
Material: Tb5CdBi2
Method: DFT, PBE
State: relaxed

Cell and atoms, written as extended XYZ:
```
16
Lattice="-2.143 -5.116 1.156 4.867 1.970 3.856 -9.911 6.256 9.314" Properties=species:S:1:pos:R:3 pbc="T T T"
Tb -3.739 0.679 9.960
Tb 2.370 -0.126 3.837
Tb -1.572 2.362 7.541
Tb -3.448 2.431 4.366
Tb -4.218 4.194 10.742
Tb -0.440 0.532 1.539
Tb -5.616 0.747 6.784
Tb -9.557 3.235 10.488
Tb -2.969 -1.084 3.584
Tb -6.748 2.578 12.787
Bi -0.019 -2.165 4.268
Bi -2.640 -0.511 6.731
Bi -7.168 5.275 10.057
Bi -4.547 3.621 7.595
Cd -6.854 1.878 9.492
Cd -0.334 1.232 4.833
```

Its energy of formation is -0.25 eV/atom. As for the symmetry: No. 63.


6.
Material: Ca2Cu2Sn3
Method: DFT, PBE
State: relaxed

Cell and atoms, written as extended XYZ:
```
14
Lattice="4.475 0.000 -1.067 0.000 7.250 0.000 0.064 0.000 10.187" Properties=species:S:1:pos:R:3 pbc="T T T"
Ca 3.791 5.437 5.981
Ca 4.322 1.812 8.209
Ca 0.217 5.437 0.910
Ca 0.748 1.812 3.138
Cu 3.145 6.777 3.275
Cu 3.145 4.098 3.275
Cu 1.393 0.473 5.844
Cu 1.393 3.152 5.844
Sn 2.561 0.388 0.824
Sn 1.023 5.437 4.289
Sn 3.516 1.812 4.831
Sn 1.978 6.862 8.295
Sn 1.978 4.013 8.295
Sn 2.561 3.237 0.824
```

The calculation puts the energy above the most stable polymorph in this dataset at 0.000 eV/atom. Its energy of formation is -0.38 eV/atom. As for the symmetry: No. 63.


7.
Material: Sb2POs
Method: DFT, PBE
State: relaxed

Cell and atoms, written as extended XYZ:
```
4
Lattice="-1.953 -0.951 4.247 0.273 3.206 3.522 -3.913 2.340 1.404" Properties=species:S:1:pos:R:3 pbc="T T T"
Os -2.796 2.297 4.587
Sb -1.398 1.149 2.293
Sb 0.000 0.000 0.000
P -4.195 3.446 6.880
```

As for the symmetry: No. 216. The energy relative to the elements, uncorrected comes out at 796 meV/atom.


8.
Material: VCoSbI2
Method: DFT, PBE
State: relaxed

Cell and atoms, written as extended XYZ:
```
5
Lattice="-0.962 0.808 5.286 1.391 -5.148 1.040 5.066 1.509 0.692" Properties=species:S:1:pos:R:3 pbc="T T T"
I -0.481 0.404 2.643
I 0.696 -2.574 0.520
Co 2.747 -1.416 3.509
V 0.000 0.000 0.000
Sb 2.533 0.754 0.346
```

The calculation puts the energy above the most stable polymorph in this dataset at 0.000 eV/atom. As for the symmetry: No. 123. The energy relative to the elements, uncorrected comes out at 908 meV/atom.


9.
Material: La2YSe
Method: DFT, PBE
State: relaxed

Cell and atoms, written as extended XYZ:
```
4
Lattice="-2.951 4.234 3.456 -0.062 -1.066 6.119 4.318 0.111 -4.464" Properties=species:S:1:pos:R:3 pbc="T T T"
Y -0.070 2.965 1.890
Se -1.507 1.584 4.788
La 0.000 0.000 0.000
La 1.375 0.315 3.221
```

As for the symmetry: No. 119. The energy relative to the elements, uncorrected comes out at -478 meV/atom.


10.
Material: KBaRe
Method: DFT, PBE
State: relaxed

Cell and atoms, written as extended XYZ:
```
3
Lattice="-0.676 -1.417 3.052 -0.173 -1.902 -2.852 9.043 -2.254 0.955" Properties=species:S:1:pos:R:3 pbc="T T T"
Ba 8.454 -2.107 0.893
Re 5.785 -3.268 -0.236
K 2.999 -2.453 1.455
```

The calculation puts the energy above the most stable polymorph in this dataset at 0.102 eV/atom. Its energy of formation is 1.55 eV/atom. As for the symmetry: No. 156.


11.
Material: MgB2TeS
Method: DFT, PBE
State: relaxed

Cell and atoms, written as extended XYZ:
```
5
Lattice="4.372 0.000 0.000 0.000 5.873 0.000 0.000 0.000 4.372" Properties=species:S:1:pos:R:3 pbc="T T T"
Mg 0.000 2.937 0.000
Te 0.000 0.000 0.000
B 0.000 0.000 2.186
B 2.186 0.000 0.000
S 2.186 2.937 2.186
```

As for the symmetry: No. 123. The energy relative to the elements, uncorrected comes out at 1473 meV/atom.


12.
Material: GaFeN3
Method: DFT, PBE
State: relaxed

Cell and atoms, written as extended XYZ:
```
5
Lattice="3.798 0.000 0.000 0.000 3.798 0.000 0.000 0.000 3.798" Properties=species:S:1:pos:R:3 pbc="T T T"
N 0.000 0.000 1.899
N 1.899 0.000 0.000
N 0.000 1.899 0.000
Fe 1.899 1.899 1.899
Ga 0.000 0.000 0.000
```

As for the symmetry: No. 221. The energy relative to the elements, uncorrected comes out at 2063 meV/atom.